(1)
AcPrIrPt | GGA-PBE | optimized geometry

Cell: 4.4740 4.0831 11.2783 Å, 90.00 90.00 90.00°
With the nearest neighbours (Å) after each atom.
Space group Amm2 (No. 38)
One atom of each set of equivalent atoms:
Ac 0.0000 0.0000 0.0000  3 Ir 3.05-3.30, 4 Pt 3.09
Pr 0.5000 0.0000 0.2768  4 Ir 3.07, 3 Pt 3.14-3.22
Ir 0.0000 0.0000 0.7297  2 Pt 2.98, 3 Ac 3.05-3.30, 4 Pr 3.07
Pt 0.5000 0.0000 0.5554  2 Ir 2.98, 4 Ac 3.09, 3 Pr 3.14-3.22

Properties
**Uncorrected energy**: -54.4 eV for the cell shown

***

(2)
Ac2PrIrPt | GGA-PBE | optimized geometry

Cell: 4.4323 4.4323 15.2425 Å, 90.00 90.00 90.00°
With the nearest neighbours (Å) after each atom.
Space group P4/nmm (No. 129, origin choice 2)
One atom of each set of equivalent atoms:
Ac 0.2500 0.2500 0.0992  5 Ir 3.09-3.13
Ac 0.2500 0.2500 0.7129  1 Ir 2.80
Pr 0.2500 0.7500 0.5000  4 Pr 3.13, 4 Pt 3.17
Ir 0.2500 0.2500 0.8963  2 Ac 2.80-3.09
Pt 0.2500 0.2500 0.3513  4 Pr 3.17, 4 Ac 3.28

Properties
**Uncorrected energy**: -62.2 eV for the cell shown

***

(3)
AcPrIrRh | GGA-PBE | optimized geometry

Cell: 4.3361 4.1033 11.2521 Å, 90.00 90.00 90.00°
With the nearest neighbours (Å) after each atom.
Space group Amm2 (No. 38)
One atom of each set of equivalent atoms:
Ac 0.0000 0.0000 0.0000  4 Ir 3.07, 3 Rh 3.09-3.26
Pr 0.5000 0.0000 0.7174  4 Rh 3.05, 3 Ir 3.17-3.20
Ir 0.5000 0.0000 0.4357  2 Rh 2.83, 4 Ac 3.07
Rh 0.0000 0.0000 0.2745  2 Ir 2.83, 4 Pr 3.05, 1 Ac 3.09

Properties
**Uncorrected energy**: -55.1 eV for the cell shown

***

(4)
Ac2PrIrRh | GGA-PBE | optimized geometry

Cell: 4.2272 13.9478 10.3314 Å, 90.00 90.00 90.00°
With the nearest neighbours (Å) after each atom.
Space group Cmcm (No. 63)
One atom of each set of equivalent atoms:
Ac 0.0000 0.1404 0.0660  2 Ir 2.96, 2 Rh 3.29
Pr 0.0000 0.4030 0.2500  2 Ir 2.92, 2 Rh 2.92
Ir 0.0000 0.5000 0.0000  2 Pr 2.92, 4 Ac 2.96
Rh 0.0000 0.2411 0.7500  2 Pr 2.92

Properties
**Uncorrected energy**: -128.7 eV for the cell shown

***

(5)
Ac2Pr2Ir2Rh | GGA-PBE | optimized geometry

Cell: 14.2562 4.0945 8.2394 Å, 90.00 119.37 90.00°
With the nearest neighbours (Å) after each atom.
Space group C2/m (No. 12)
One atom of each set of equivalent atoms:
Ac 0.0335 0.0000 0.2618  2 Rh 3.03, 4 Ir 3.09-3.31
Pr 0.2196 0.5000 0.7976  1 Rh 2.88, 3 Ir 2.93-3.02
Ir 0.1129 0.5000 0.0365  3 Pr 2.93-3.02, 1 Ir 2.97, 2 Ac 3.09
Rh 0.0000 0.5000 0.5000  2 Pr 2.88, 4 Ac 3.03

Properties
**Uncorrected energy**: -93.4 eV for the cell shown

***

(6)
AcPrIrRh | GGA-PBE | optimized geometry

Cell: 7.2866 7.2866 7.2866 Å, 90.00 90.00 90.00°
With the nearest neighbours (Å) after each atom.
Space group F-43m (No. 216)
One atom of each set of equivalent atoms:
Ac 0.0000 0.0000 0.0000  4 Rh 3.16, 4 Ir 3.16
Pr 0.0000 0.0000 0.5000  4 Ir 3.16, 4 Rh 3.16
Ir 0.2500 0.2500 0.2500  4 Ac 3.16, 4 Pr 3.16
Rh 0.2500 0.2500 0.7500  4 Ac 3.16, 4 Pr 3.16

Properties
**Uncorrected energy**: -108.7 eV for the cell shown

***

(7)
AcPrIrRu | GGA-PBE | optimized geometry

Cell: 7.2609 7.2609 7.2609 Å, 90.00 90.00 90.00°
With the nearest neighbours (Å) after each atom.
Space group F-43m (No. 216)
One atom of each set of equivalent atoms:
Ac 0.0000 0.0000 0.0000  4 Ru 3.14, 4 Ir 3.14
Pr 0.0000 0.0000 0.5000  4 Ru 3.14, 4 Ir 3.14
Ir 0.2500 0.2500 0.7500  4 Ac 3.14, 4 Pr 3.14
Ru 0.2500 0.2500 0.2500  4 Ac 3.14, 4 Pr 3.14

Properties
**Uncorrected energy**: -110.9 eV for the cell shown

***

(8)
Ac2PrSb3Ir4 | GGA-PBE | optimized geometry

Cell: 4.5474 4.5474 11.6055 Å, 90.00 90.00 90.00°
With the nearest neighbours (Å) after each atom.
Space group P-4m2 (No. 115)
One atom of each set of equivalent atoms:
Ac 0.0000 0.5000 0.2322  6 Sb 3.45-3.85, 8 Ir 3.49-3.53, 2 Pr 3.85
Pr 0.0000 0.0000 0.5000  4 Ir 2.87, 4 Sb 3.22
Sb 0.0000 0.5000 0.8760  5 Ir 2.61-2.69
Sb 0.5000 0.5000 0.5000  4 Ir 2.87, 4 Pr 3.22
Ir 0.0000 0.0000 0.0000  4 Sb 2.69
Ir 0.0000 0.5000 0.6516  3 Sb 2.61-2.87, 2 Pr 2.87
Ir 0.5000 0.5000 0.0000  4 Sb 2.69

Properties
**Uncorrected formation energy**: -62 kJ/mol of atoms

***

(9)
Ac2PrSn3Ir4 | GGA-PBE | optimized geometry

Cell: 4.5250 4.5250 11.7708 Å, 90.00 90.00 90.00°
With the nearest neighbours (Å) after each atom.
Space group P-4m2 (No. 115)
One atom of each set of equivalent atoms:
Ac 0.0000 0.5000 0.2339  6 Sn 3.46-3.86, 8 Ir 3.46-3.56, 2 Pr 3.86
Pr 0.0000 0.0000 0.5000  4 Ir 2.89, 4 Sn 3.20
Sn 0.0000 0.5000 0.8788  5 Ir 2.65-2.67
Sn 0.5000 0.5000 0.5000  4 Ir 2.89, 4 Pr 3.20
Ir 0.0000 0.0000 0.0000  4 Sn 2.67
Ir 0.0000 0.5000 0.6534  3 Sn 2.65-2.89, 2 Pr 2.89
Ir 0.5000 0.5000 0.0000  4 Sn 2.67

Properties
**Uncorrected energy**: -66.4 eV for the cell shown

***

(10)
Ac2PrSn4Ir3 | GGA-PBE | optimized geometry

Cell: 4.5651 4.5651 12.2972 Å, 90.00 90.00 90.00°
With the nearest neighbours (Å) after each atom.
Space group P-4m2 (No. 115)
One atom of each set of equivalent atoms:
Ac 0.0000 0.5000 0.2257  4 Ir 3.48, 8 Sn 3.49-3.59
Pr 0.0000 0.0000 0.5000  4 Sn 3.06, 4 Ir 3.23
Sn 0.0000 0.0000 0.0000  4 Ir 2.71
Sn 0.0000 0.5000 0.6660  1 Ir 2.64
Sn 0.5000 0.5000 0.0000  4 Ir 2.71
Ir 0.0000 0.5000 0.8807  5 Sn 2.64-2.71
Ir 0.5000 0.5000 0.5000  4 Sn 3.06, 4 Pr 3.23

Properties
**Uncorrected energy**: -61.2 eV for the cell shown

***

(11)
SrAc2PrIr | GGA-PBE | optimized geometry

Cell: 5.9557 5.9557 5.8224 Å, 90.00 90.00 90.00°
With the nearest neighbours (Å) after each atom.
Space group P4/mmm (No. 123)
One atom of each set of equivalent atoms:
Sr 0.0000 0.0000 0.0000  8 Ac 4.16, 4 Pr 4.21
Ac 0.0000 0.5000 0.5000  2 Ir 2.98
Pr 0.5000 0.5000 0.0000  2 Ir 2.91
Ir 0.5000 0.5000 0.5000  2 Pr 2.91, 4 Ac 2.98

Properties
**Uncorrected energy**: -24.9 eV for the cell shown

***

(12)
AcPrTeIr | GGA-PBE | optimized geometry

Cell: 7.5589 4.3607 8.1723 Å, 90.00 108.01 90.00°
With the nearest neighbours (Å) after each atom.
Space group Cm (No. 8)
One atom of each set of equivalent atoms:
Ac 0.0000 0.0000 0.0000  3 Ir 3.02
Pr 0.3047 0.5000 0.4143  3 Ir 2.96, 2 Te 3.31
Te 0.0639 0.5000 0.6909  3 Pr 3.31, 3 Ac 3.48, 1 Ir 3.70
Ir 0.4050 0.0000 0.2146  3 Pr 2.96, 3 Ac 3.02

Properties
**Uncorrected formation energy**: -99 kJ/mol of atoms